Material: Ho3Th3Sc5
Method: DFT, PBE-GGA
State: relaxed

Lattice parameters (Å, degrees): 8.994 8.994 5.481 90.00 90.00 120.00
Sites, in units of the cell vectors:
Ho  0.000  0.515  0.000
Ho  0.485  0.485  0.000
Ho  0.515  0.000  0.000
Th  0.000  0.748  0.500
Th  0.252  0.252  0.500
Th  0.748  0.000  0.500
Sc  0.000  0.378  0.500
Sc  0.333  0.667  0.500
Sc  0.378  0.000  0.500
Sc  0.622  0.622  0.500
Sc  0.667  0.333  0.500

* offset from the most stable computed form: 735 meV per atom
* ΔH_f (0 K): 0.83 eV/atom
* E_tot: -5.32 eV per atom
* magnetic moment: 0.000 μB/atom